[1]
A relaxed structure of CaZn2Te. Source: Alexandria, functional PBE-GGA.

Output
SG ... Cmmm
E_form (uncorrected) ... -0.9 eV per formula unit
Crystal system ... orthorhombic

a b c (Å): 3.9232 3.9232 6.3078
angles (deg): 90.00 90.00 89.88
Atoms (fractional coordinates):
Zn (0.0000, 0.0000, 0.9696)
Zn (0.0000, 0.0000, 0.5304)
Te (0.5000, 0.5000, 0.7500)
Ca (0.5000, 0.5000, 0.2500)



[2]
A relaxed structure of Sr6InHg. Source: Alexandria, functional PBE-GGA.

Output
ΔH_f (0 K) ... -254 meV per atom
SG ... I4/mmm
Crystal system ... tetragonal

a b c (Å): 5.8440 5.8441 11.0410
angles (deg): 74.65 74.65 90.00
Atoms (fractional coordinates):
Sr (0.7478, 0.7478, 0.5043)
Sr (0.5940, 0.0940, 0.8120)
Sr (0.0940, 0.5940, 0.8120)
Sr (0.4060, 0.9060, 0.1880)
Sr (0.2522, 0.2522, 0.4957)
Sr (0.9060, 0.4060, 0.1880)
In (0.5000, 0.5000, 0.0000)
Hg (0.0000, 0.0000, 0.0000)



[3]
A relaxed structure of KSrPb2. Source: Alexandria, functional PBE-GGA.

Output
ΔH_f (0 K) ... -269 meV per atom
SG ... Pm
Energy relative to the lowest polymorph listed for this composition ... 0.042 eV per atom
Crystal system ... monoclinic

a b c (Å): 5.7935 3.9947 6.1634
angles (deg): 89.95 90.00 90.00
Atoms (fractional coordinates):
K (0.5000, 0.6260, 0.8234)
Pb (0.0000, 0.1255, 0.9516)
Pb (0.5000, 0.1245, 0.3046)
Sr (0.0000, 0.6240, 0.4204)



[4]
A relaxed structure of Zn2AgSeO. Source: Alexandria, functional PBE-GGA.

Output
SG ... P4/mmm
E_form (uncorrected) ... -0.5 eV per formula unit
Crystal system ... tetragonal

a b c (Å): 3.9087 6.5113 3.9087
angles (deg): 90.00 90.00 90.00
Atoms (fractional coordinates):
O (0.0000, 0.0000, 0.0000)
Zn (0.0000, 0.0000, 0.5000)
Zn (0.5000, 0.0000, 0.0000)
Se (0.0000, 0.5000, 0.0000)
Ag (0.5000, 0.5000, 0.5000)



[5]
A relaxed structure of CaZrSi2Sb. Source: Alexandria, functional PBE-GGA.

Output
SG ... P4/mmm
E_form (uncorrected) ... 0.4 eV per formula unit
Crystal system ... tetragonal

a b c (Å): 5.0834 5.5526 5.0834
angles (deg): 90.00 90.00 90.00
Atoms (fractional coordinates):
Sb (0.0000, 0.5000, 0.0000)
Ca (0.5000, 0.5000, 0.5000)
Si (0.0000, 0.0000, 0.5000)
Si (0.5000, 0.0000, 0.0000)
Zr (0.0000, 0.0000, 0.0000)



[6]
A relaxed structure of B2C. Source: Alexandria, functional PBE-GGA.

Output
ΔH_f (0 K) ... 435 meV per atom
SG ... Cm
Energy relative to the lowest polymorph listed for this composition ... 0.250 eV per atom
Crystal system ... monoclinic

a b c (Å): 6.6266 6.6266 5.0482
angles (deg): 74.07 74.07 22.17
Atoms (fractional coordinates):
B (0.3085, 0.3085, 0.3768)
B (0.3260, 0.3260, 0.0324)
B (0.1733, 0.1733, 0.1920)
B (0.9993, 0.9993, 0.9765)
B (0.9996, 0.9996, 0.6197)
B (0.8578, 0.8578, 0.7635)
B (0.6053, 0.6053, 0.4814)
B (0.4703, 0.4703, 0.4253)
C (0.1306, 0.1306, 0.9183)
C (0.7808, 0.7808, 0.5743)
C (0.6644, 0.6644, 0.7336)
C (0.4341, 0.4341, 0.1560)



Computed values of raw total energy (unit: eV per atom) for the preceding records, in sequence: -2.15; -1.89; -2.82; -2.88; -5.01; -7.09.